{
  "formula": "MoPdRh",
  "functional": "PBE-GGA",
  "state": "optimized geometry",
  "lattice": [[-1.160, -1.489, 2.026], [1.611, -1.241, -1.880], [10.886, 2.215, 7.863]],
  "species": ["Pd", "Pd", "Mo", "Mo", "Rh", "Rh"],
  "fractional_positions": [[0.500, 0.500, 0.165], [0.500, 0.500, 0.665], [0.833, 0.167, 0.832], [0.167, 0.833, 0.332], [0.833, 0.167, 0.491], [0.167, 0.833, 0.991]],
  "e_above_lowest_polymorph_mev_per_atom": 52,
  "total_energy_ev_per_atom": -7.85,
  "ef_ev_per_atom": -0.061
}